DFT (GGA-PBE) results for a relaxed YMg2Cr crystal.

Lattice parameters (Å, degrees): 3.2269 4.9296 6.0430 90.00 104.52 90.00
Fractional positions:
Y (0.0000, 0.0000, 0.0000)
Mg (0.3283, 0.5000, 0.7256)
Mg (0.6717, 0.5000, 0.2744)
Cr (0.5000, 0.0000, 0.5000)

Summary:
SG   P2/m, No. 10
E_form   0.276 eV per atom


DFT (GGA-PBE) results for a relaxed Sr3ReHg crystal.

Lattice parameters (Å, degrees): 5.7803 5.7803 5.7803 90.00 90.00 90.00
Fractional positions:
Sr (0.0000, 0.0000, 0.5000)
Sr (0.0000, 0.5000, 0.0000)
Sr (0.5000, 0.0000, 0.0000)
Re (0.0000, 0.0000, 0.0000)
Hg (0.5000, 0.5000, 0.5000)

Summary:
Energy above the lowest structure with this stoichiometry   0 meV/atom
SG   Pm-3m, No. 221
E_form   0.619 eV per atom


DFT (GGA-PBE) results for a relaxed KCaAc crystal.

Lattice parameters (Å, degrees): 5.5430 5.5430 10.5686 90.00 90.00 90.00
Fractional positions:
K (0.2500, 0.2500, 0.1624)
K (0.7500, 0.7500, 0.8376)
Ca (0.2500, 0.2500, 0.7591)
Ca (0.7500, 0.7500, 0.2409)
Ac (0.2500, 0.7500, 0.5000)
Ac (0.7500, 0.2500, 0.5000)

Summary:
Energy above the lowest structure with this stoichiometry   148 meV/atom
SG   P4/nmm, No. 129
E_form   0.297 eV per atom


DFT (GGA-PBE) results for a relaxed Tm8PtSe4S3 crystal.

Lattice parameters (Å, degrees): 7.9913 7.9913 7.9913 59.47 59.47 59.47
Fractional positions:
Tm (0.2424, 0.2424, 0.2424)
Tm (0.2471, 0.7413, 0.7413)
Tm (0.2587, 0.2587, 0.7529)
Tm (0.2587, 0.7529, 0.2587)
Tm (0.7413, 0.2471, 0.7413)
Tm (0.7413, 0.7413, 0.2471)
Tm (0.7529, 0.2587, 0.2587)
Tm (0.7576, 0.7576, 0.7576)
Pt (0.5000, 0.5000, 0.5000)
Se (0.0000, 0.0000, 0.0000)
Se (0.0000, 0.5000, 0.5000)
Se (0.5000, 0.0000, 0.5000)
Se (0.5000, 0.5000, 0.0000)
S (0.0000, 0.0000, 0.5000)
S (0.0000, 0.5000, 0.0000)
S (0.5000, 0.0000, 0.0000)

Summary:
DFT total energy   -5.99 eV/atom
SG   R-3m, No. 166


DFT (GGA-PBE) results for a relaxed CsTa3Be crystal.

Lattice parameters (Å, degrees): 4.6694 4.6694 4.6694 90.00 90.00 90.00
Fractional positions:
Cs (0.0000, 0.0000, 0.0000)
Ta (0.0000, 0.5000, 0.5000)
Ta (0.5000, 0.0000, 0.5000)
Ta (0.5000, 0.5000, 0.0000)
Be (0.5000, 0.5000, 0.5000)

Summary:
Energy above the lowest structure with this stoichiometry   0 meV/atom
SG   Pm-3m, No. 221
E_form   1.677 eV per atom


DFT (GGA-PBE) results for a relaxed SmSi2Pt5 crystal.

Lattice parameters (Å, degrees): 6.3296 6.3296 6.3296 143.70 112.13 79.48
Fractional positions:
Sm (0.0000, 0.0000, 0.0000)
Si (0.2528, 0.7528, 0.5000)
Si (0.7472, 0.2472, 0.5000)
Pt (0.1511, 0.3515, 0.7996)
Pt (0.4481, 0.6485, 0.7996)
Pt (0.5000, 0.0000, 0.5000)
Pt (0.5519, 0.3515, 0.2004)
Pt (0.8489, 0.6485, 0.2004)

Summary:
DFT total energy   -6.64 eV/atom
SG   Immm, No. 71